Computed, not measured: a PBEsol-optimized structure of SrY2Ru at the SCAN level of DFT.

CIF file:
```
data_SrY2Ru
_space_group_name_H-M_alt 'P 4/m m m'
_space_group_IT_number 123
_space_group_name_Hall '-P 4 2'
_cell_length_a 3.423
_cell_length_b 3.423
_cell_length_c 9.760
_cell_angle_alpha 90.00
_cell_angle_beta 90.00
_cell_angle_gamma 90.00
loop_
_atom_site_label
_atom_site_type_symbol
_atom_site_fract_x
_atom_site_fract_y
_atom_site_fract_z
Sr1 Sr 0.000 0.000 0.000
Y1 Y 0.500 0.500 0.335
Ru1 Ru 0.000 0.000 0.500
```

The uncorrected energy is -113.6 eV/cell. The calculation puts the formation enthalpy at 0 K at -0.214 eV/atom. Its theoretical density is 5.32 g/cm3.

Computed, not measured: a PBEsol-optimized structure of Mg2AlOs at the SCAN level of DFT.

CIF file:
```
data_Mg2AlOs
_space_group_name_H-M_alt 'P m m m'
_space_group_IT_number 47
_space_group_name_Hall '-P 2 2'
_cell_length_a 2.741
_cell_length_b 4.288
_cell_length_c 5.509
_cell_angle_alpha 90.00
_cell_angle_beta 90.00
_cell_angle_gamma 90.00
loop_
_atom_site_label
_atom_site_type_symbol
_atom_site_fract_x
_atom_site_fract_y
_atom_site_fract_z
Mg1 Mg 0.000 0.000 0.237
Al1 Al 0.500 0.500 0.500
Os1 Os 0.500 0.500 0.000
```

The uncorrected energy is -89.3 eV/cell. The calculation puts the formation enthalpy at 0 K at 0.074 eV/atom. Its theoretical density is 6.82 g/cm3.

Computed, not measured: a PBEsol-optimized structure of LaRe2Se at the SCAN level of DFT.

CIF file:
```
data_LaRe2Se
_space_group_name_H-M_alt 'I 4/m m m'
_space_group_IT_number 139
_space_group_name_Hall '-I 4 2'
_cell_length_a 3.854
_cell_length_b 3.854
_cell_length_c 10.540
_cell_angle_alpha 90.00
_cell_angle_beta 90.00
_cell_angle_gamma 90.00
loop_
_atom_site_label
_atom_site_type_symbol
_atom_site_fract_x
_atom_site_fract_y
_atom_site_fract_z
La1 La 0.000 0.000 0.000
Re1 Re 0.000 0.500 0.250
Se1 Se 0.000 0.000 0.500
```

The uncorrected energy is -406.9 eV/cell. Its theoretical density is 12.52 g/cm3. Its energy relative to the elements, uncorrected is 483 meV/atom.

Computed, not measured: a PBEsol-optimized structure of LiPAu at the SCAN level of DFT.

CIF file:
```
data_LiPAu
_space_group_name_H-M_alt 'P -6 m 2'
_space_group_IT_number 187
_space_group_name_Hall 'P -6 2'
_cell_length_a 4.1911
_cell_length_b 4.1911
_cell_length_c 3.0448
_cell_angle_alpha 90.00
_cell_angle_beta 90.00
_cell_angle_gamma 120.00
loop_
_atom_site_label
_atom_site_type_symbol
_atom_site_fract_x
_atom_site_fract_y
_atom_site_fract_z
Li1 Li 0.0000 0.0000 0.0000
P1 P 0.3333 0.6667 0.5000
Au1 Au 0.6667 0.3333 0.5000
```

The uncorrected energy is -83.3 eV/cell. The calculation puts the formation enthalpy at 0 K at -0.457 eV/atom. Its theoretical density is 8.42 g/cm3.

Computed, not measured: a PBEsol-optimized structure of Mg4Al3H17O17 at the SCAN level of DFT.

CIF file:
```
data_Mg4Al3H17O17
_space_group_name_H-M_alt 'P 1'
_space_group_IT_number 1
_space_group_name_Hall 'P 1'
_cell_length_a 2.994
_cell_length_b 6.849
_cell_length_c 18.343
_cell_angle_alpha 92.52
_cell_angle_beta 94.33
_cell_angle_gamma 100.90
loop_
_atom_site_label
_atom_site_type_symbol
_atom_site_fract_x
_atom_site_fract_y
_atom_site_fract_z
Mg1 Mg 0.000 0.000 0.000
Mg2 Mg 0.139 0.001 0.299
Mg3 Mg 0.573 0.006 0.149
Mg4 Mg 0.711 0.972 0.443
Al1 Al 0.281 0.948 0.579
Al2 Al 0.423 0.971 0.852
Al3 Al 0.850 0.957 0.717
H1 H 0.006 0.682 0.397
H2 H 0.037 0.468 0.489
H3 H 0.043 0.273 0.880
H4 H 0.126 0.468 0.769
H5 H 0.226 0.305 0.211
H6 H 0.239 0.636 0.672
H7 H 0.330 0.700 0.932
H8 H 0.455 0.263 0.502
H9 H 0.488 0.708 0.252
H10 H 0.542 0.457 0.667
H11 H 0.585 0.268 0.779
H12 H 0.652 0.301 0.051
H13 H 0.711 0.631 0.509
H14 H 0.760 0.287 0.373
H15 H 0.862 0.606 0.813
H16 H 0.921 0.707 0.100
H17 H 0.980 0.255 0.642
O1 O 0.010 0.135 0.897
O2 O 0.118 0.821 0.387
O3 O 0.164 0.161 0.202
O4 O 0.233 0.472 0.678
O5 O 0.274 0.829 0.674
O6 O 0.304 0.120 0.503
O7 O 0.405 0.844 0.940
O8 O 0.453 0.121 0.767
O9 O 0.548 0.848 0.241
O10 O 0.591 0.157 0.049
O11 O 0.707 0.816 0.540
O12 O 0.723 0.489 0.478
O13 O 0.729 0.150 0.355
O14 O 0.846 0.836 0.807
O15 O 0.873 0.107 0.634
O16 O 0.946 0.467 0.813
O17 O 0.978 0.849 0.092
```

The uncorrected energy is -283.7 eV/cell. Its theoretical density is 2.11 g/cm3.

Computed, not measured: a PBEsol-optimized structure of Zn2RuPb at the SCAN level of DFT.

CIF file:
```
data_Zn2RuPb
_space_group_name_H-M_alt 'I 4/m m m'
_space_group_IT_number 139
_space_group_name_Hall '-I 4 2'
_cell_length_a 3.866
_cell_length_b 3.866
_cell_length_c 8.600
_cell_angle_alpha 90.00
_cell_angle_beta 90.00
_cell_angle_gamma 90.00
loop_
_atom_site_label
_atom_site_type_symbol
_atom_site_fract_x
_atom_site_fract_y
_atom_site_fract_z
Zn1 Zn 0.000 0.500 0.250
Ru1 Ru 0.000 0.000 0.000
Pb1 Pb 0.000 0.000 0.500
```

The uncorrected energy is -273.5 eV/cell. The calculation puts the formation enthalpy at 0 K at 0.226 eV/atom. Its theoretical density is 11.35 g/cm3.